Entry w
AcCe2Ho: relaxed, GGA-PBE.

Its total moment is 1.08 μB/atom.

It has space group Fm-3m (No. 225), with a = 8.2381 Å, b = 8.2381 Å, c = 8.2381 Å, α = 90.00°, β = 90.00° and γ = 90.00°. The asymmetric unit holds Ac at (0.0000, 0.0000, 0.0000), Ce at (0.2500, 0.2500, 0.2500) and Ho at (0.0000, 0.0000, 0.5000).

Entry x
AcCe2Ho: relaxed, GGA-PBE.

Its total moment is 0.50 μB/atom.

It has space group P4/mmm (No. 123), with a = 5.0462 Å, b = 5.0462 Å, c = 5.2129 Å, α = 90.00°, β = 90.00° and γ = 90.00°. The asymmetric unit holds Ac at (0.0000, 0.0000, 0.0000), Ce at (0.0000, 0.5000, 0.5000) and Ho at (0.5000, 0.5000, 0.0000).

The winner here is entry x, beating the second structure by 156 meV per atom.

Entry w
AcCeHo2: relaxed, GGA-PBE.

Its total moment is 0.02 μB/atom.

It has space group R-3m (No. 166, hexagonal axes), with a = 3.5480 Å, b = 3.5480 Å, c = 37.4999 Å, α = 90.00°, β = 90.00° and γ = 120.00°. The asymmetric unit holds Ac at (0.0000, 0.0000, 0.0000), Ce at (0.0000, 0.0000, 0.5000) and Ho at (0.0000, 0.0000, 0.0939).

Entry x
AcCeHo2: relaxed, GGA-PBE.

Its total moment is 0.14 μB/atom.

It has space group P4/mmm (No. 123), with a = 3.6809 Å, b = 3.6809 Å, c = 9.9899 Å, α = 90.00°, β = 90.00° and γ = 90.00°. The asymmetric unit holds Ac at (0.0000, 0.0000, 0.0000), Ce at (0.0000, 0.0000, 0.5000) and Ho at (0.5000, 0.5000, 0.2703).

Entry y
AcCeHo2: relaxed, GGA-PBE.

Its total moment is 0.17 μB/atom.

It has space group R3m (No. 160, hexagonal axes), with a = 3.6488 Å, b = 3.6488 Å, c = 35.2335 Å, α = 90.00°, β = 90.00° and γ = 120.00°. The asymmetric unit holds Ac at (0.0000, 0.0000, 0.0000), Ce at (0.0000, 0.0000, 0.8340), Ho at (0.0000, 0.0000, 0.2457) and Ho at (0.0000, 0.0000, 0.4221).

Entry z
AcCeHo2: relaxed, GGA-PBE.

Its total moment is 0.17 μB/atom.

It has space group Fm-3m (No. 225), with a = 8.2179 Å, b = 8.2179 Å, c = 8.2179 Å, α = 90.00°, β = 90.00° and γ = 90.00°. The asymmetric unit holds Ac at (0.0000, 0.0000, 0.0000), Ce at (0.0000, 0.0000, 0.5000) and Ho at (0.2500, 0.2500, 0.2500).

The winner here is entry x, beating the second structure by 17 meV per atom.

Entry w
AcCeIn4: relaxed, GGA-PBE.

Its total moment is 0.23 μB/atom.

It has space group F-43m (No. 216), with a = 8.7839 Å, b = 8.7839 Å, c = 8.7839 Å, α = 90.00°, β = 90.00° and γ = 90.00°. The asymmetric unit holds Ac at (0.0000, 0.0000, 0.0000), Ce at (0.2500, 0.2500, 0.7500) and In at (0.1246, 0.1246, 0.3754).

Entry x
AcCeIn4: relaxed, GGA-PBE.

Its total moment is 0.13 μB/atom.

It has space group P6/mmm (No. 191), with a = 5.1178 Å, b = 5.1178 Å, c = 7.6806 Å, α = 90.00°, β = 90.00° and γ = 120.00°. The asymmetric unit holds Ac at (0.0000, 0.0000, 0.0000), Ce at (0.0000, 0.0000, 0.5000) and In at (0.3333, 0.6667, 0.2723).

The winner here is entry x, beating the second structure by 32 meV per atom.